Entry 1:
Here is a relaxed FePHAuC crystal from Alexandria via LeMat-Bulk. Energies are from PBE.

## Properties
total DFT energy (no corrections) = -5.58 eV per atom

a = 4.2252 Å, b = 4.2252 Å, c = 5.8213 Å
α = 116.14°, β = 116.14°, γ = 40.56°
Sites, in units of the cell vectors:
Fe (0.0000, 0.0000, 0.0000)
P (0.2636, 0.2636, 0.9379)
H (0.4880, 0.4880, 0.3940)
Au (0.2847, 0.2847, 0.5321)
C (0.5194, 0.5194, 0.2254)



Entry 2:
Here is a relaxed HoTm2C2 crystal from Alexandria via LeMat-Bulk. Energies are from PBE.

## Properties
energy of formation = -0.28 eV/atom

a = 6.1973 Å, b = 6.1973 Å, c = 7.2427 Å
α = 107.60°, β = 107.60°, γ = 47.44°
Sites, in units of the cell vectors:
Ho (0.1559, 0.1559, 0.0964)
Ho (0.8441, 0.8441, 0.9036)
Tm (0.1617, 0.1617, 0.5660)
Tm (0.4934, 0.4934, 0.2740)
Tm (0.5066, 0.5066, 0.7260)
Tm (0.8383, 0.8383, 0.4340)
C (0.0035, 0.0035, 0.7623)
C (0.3324, 0.3324, 0.4144)
C (0.6676, 0.6676, 0.5856)
C (0.9965, 0.9965, 0.2377)



Entry 3:
Here is a relaxed HoHfTc2 crystal from Alexandria via LeMat-Bulk. Energies are from PBE.

## Properties
energy of formation = -0.12 eV/atom

a = 4.7106 Å, b = 4.7106 Å, c = 4.7106 Å
α = 60.00°, β = 60.00°, γ = 60.00°
Sites, in units of the cell vectors:
Ho (0.0000, 0.0000, 0.0000)
Hf (0.5000, 0.5000, 0.5000)
Tc (0.2500, 0.2500, 0.2500)
Tc (0.7500, 0.7500, 0.7500)



Entry 4:
Here is a relaxed LiCa2MgNi crystal from Alexandria via LeMat-Bulk. Energies are from PBE.

## Properties
energy of formation = 0.08 eV/atom

a = 5.3899 Å, b = 5.3899 Å, c = 4.8068 Å
α = 90.00°, β = 90.00°, γ = 90.00°
Sites, in units of the cell vectors:
Li (0.0000, 0.0000, 0.0000)
Ca (0.0000, 0.5000, 0.5000)
Ca (0.5000, 0.0000, 0.5000)
Mg (0.5000, 0.5000, 0.0000)
Ni (0.0000, 0.0000, 0.5000)



Entry 5:
Here is a relaxed BeMo4Cl crystal from Alexandria via LeMat-Bulk. Energies are from PBE.

## Properties
total DFT energy (no corrections) = -7.13 eV per atom

a = 5.2406 Å, b = 5.2406 Å, c = 5.2406 Å
α = 60.00°, β = 60.00°, γ = 60.00°
Sites, in units of the cell vectors:
Be (0.0000, 0.0000, 0.0000)
Mo (0.3775, 0.3775, 0.3775)
Mo (0.3775, 0.3775, 0.8676)
Mo (0.3775, 0.8676, 0.3775)
Mo (0.8676, 0.3775, 0.3775)
Cl (0.7500, 0.7500, 0.7500)



Entry 6:
Here is a relaxed TbBiH crystal from Alexandria via LeMat-Bulk. Energies are from PBE.

## Properties
total DFT energy (no corrections) = -4.05 eV per atom

a = 4.9153 Å, b = 4.9153 Å, c = 4.9153 Å
α = 125.65°, β = 125.65°, γ = 80.46°
Sites, in units of the cell vectors:
Tb (0.0000, 0.0000, 0.0000)
Bi (0.5645, 0.5645, 0.0000)
H (0.2756, 0.2756, 0.0000)



Entry 7:
Here is a relaxed TeAuI2 crystal from Alexandria via LeMat-Bulk. Energies are from PBE.

## Properties
total DFT energy (no corrections) = -2.36 eV per atom

a = 13.0946 Å, b = 5.7440 Å, c = 11.5026 Å
α = 90.00°, β = 90.00°, γ = 90.00°
Sites, in units of the cell vectors:
Te (0.0292, 0.2500, 0.0205)
Te (0.4708, 0.7500, 0.5205)
Te (0.5292, 0.2500, 0.4795)
Te (0.9708, 0.7500, 0.9795)
Au (0.0000, 0.0000, 0.5000)
Au (0.0000, 0.5000, 0.5000)
Au (0.5000, 0.0000, 0.0000)
Au (0.5000, 0.5000, 0.0000)
I (0.1110, 0.7500, 0.8031)
I (0.1458, 0.7500, 0.4034)
I (0.3542, 0.2500, 0.9034)
I (0.3890, 0.2500, 0.3031)
I (0.6110, 0.7500, 0.6969)
I (0.6458, 0.7500, 0.0966)
I (0.8542, 0.2500, 0.5966)
I (0.8890, 0.2500, 0.1969)



Entry 8:
Here is a relaxed Cs2MnPdSe4 crystal from Alexandria via LeMat-Bulk. Energies are from PBE.

## Properties
total DFT energy (no corrections) = -4.47 eV per atom

a = 14.3771 Å, b = 12.7176 Å, c = 7.8863 Å
α = 85.07°, β = 61.80°, γ = 33.13°
Sites, in units of the cell vectors:
Cs (0.0541, 0.0541, 0.6959)
Cs (0.3041, 0.3041, 0.9459)
Cs (0.6959, 0.6959, 0.0541)
Cs (0.9459, 0.9459, 0.3041)
Mn (0.3750, 0.3750, 0.3750)
Mn (0.6250, 0.6250, 0.6250)
Pd (0.1250, 0.1250, 0.1250)
Pd (0.8750, 0.8750, 0.8750)
Se (0.0066, 0.6355, 0.5602)
Se (0.2976, 0.5602, 0.6355)
Se (0.3645, 0.9934, 0.7024)
Se (0.4398, 0.7024, 0.9934)
Se (0.5602, 0.2976, 0.0066)
Se (0.6355, 0.0066, 0.2976)
Se (0.7024, 0.4398, 0.3645)
Se (0.9934, 0.3645, 0.4398)



Entry 9:
Here is a relaxed As2CSeBr crystal from Alexandria via LeMat-Bulk. Energies are from PBE.

## Properties
total DFT energy (no corrections) = -2.28 eV per atom

a = 5.2287 Å, b = 5.2287 Å, c = 5.0032 Å
α = 90.00°, β = 90.00°, γ = 90.00°
Sites, in units of the cell vectors:
As (0.0000, 0.5000, 0.0000)
As (0.5000, 0.0000, 0.0000)
C (0.0000, 0.0000, 0.5000)
Se (0.5000, 0.5000, 0.5000)
Br (0.5000, 0.5000, 0.0000)



Entry 10:
Here is a relaxed NaScCuSe3 crystal from Alexandria via LeMat-Bulk. Energies are from PBE.

## Properties
total DFT energy (no corrections) = -4.76 eV per atom

a = 8.3026 Å, b = 3.8202 Å, c = 9.2539 Å
α = 90.00°, β = 108.16°, γ = 90.00°
Sites, in units of the cell vectors:
Na (0.1993, 0.2500, 0.2279)
Na (0.8007, 0.7500, 0.7721)
Sc (0.3265, 0.7500, 0.8485)
Sc (0.6735, 0.2500, 0.1515)
Cu (0.0824, 0.2500, 0.5939)
Cu (0.9176, 0.7500, 0.4061)
Se (0.1012, 0.2500, 0.8602)
Se (0.2298, 0.7500, 0.5309)
Se (0.4443, 0.7500, 0.1586)
Se (0.5557, 0.2500, 0.8414)
Se (0.7702, 0.2500, 0.4691)
Se (0.8988, 0.7500, 0.1398)



Entry 11:
Here is a relaxed BaZn2 crystal from Alexandria via LeMat-Bulk. Energies are from PBE.

## Properties
energy of formation = -0.03 eV/atom

a = 10.7121 Å, b = 10.7121 Å, c = 4.3999 Å
α = 90.00°, β = 90.00°, γ = 158.43°
Sites, in units of the cell vectors:
Ba (0.1164, 0.8836, 0.7500)
Ba (0.8836, 0.1164, 0.2500)
Zn (0.2483, 0.7517, 0.2500)
Zn (0.4734, 0.5266, 0.7500)
Zn (0.5266, 0.4734, 0.2500)
Zn (0.7517, 0.2483, 0.7500)



Entry 12:
Here is a relaxed Rb2CdH2Br2 crystal from Alexandria via LeMat-Bulk. Energies are from PBE.

## Properties
total DFT energy (no corrections) = -2.59 eV per atom

a = 9.3140 Å, b = 9.3140 Å, c = 9.3140 Å
α = 151.63°, β = 151.63°, γ = 40.56°
Sites, in units of the cell vectors:
Rb (0.1251, 0.1251, 0.0000)
Rb (0.8749, 0.8749, 0.0000)
Cd (0.5000, 0.5000, 0.0000)
H (0.0000, 0.5000, 0.5000)
H (0.5000, 0.0000, 0.5000)
Br (0.3356, 0.3356, 0.0000)
Br (0.6644, 0.6644, 0.0000)



Entry 13:
Here is a relaxed HfSnPt2 crystal from Alexandria via LeMat-Bulk. Energies are from PBE.

## Properties
energy of formation = -0.29 eV/atom

a = 7.3961 Å, b = 7.3961 Å, c = 7.3961 Å
α = 132.51°, β = 132.51°, γ = 69.42°
Sites, in units of the cell vectors:
Hf (0.0000, 0.0000, 0.0000)
Hf (0.7500, 0.2500, 0.5000)
Sn (0.2500, 0.7500, 0.5000)
Sn (0.5000, 0.5000, 0.0000)
Pt (0.1215, 0.6250, 0.9965)
Pt (0.3750, 0.3715, 0.4965)
Pt (0.6285, 0.1250, 0.0035)
Pt (0.8750, 0.8785, 0.5035)



Entry 14:
Here is a relaxed SrLi crystal from Alexandria via LeMat-Bulk. Energies are from PBE.

## Properties
energy of formation = 0.08 eV/atom

a = 4.7067 Å, b = 4.7067 Å, c = 16.7183 Å
α = 90.00°, β = 90.00°, γ = 120.00°
Sites, in units of the cell vectors:
Sr (0.3333, 0.6667, 0.1050)
Sr (0.3333, 0.6667, 0.3950)
Sr (0.6667, 0.3333, 0.6050)
Sr (0.6667, 0.3333, 0.8950)
Li (0.0000, 0.0000, 0.2500)
Li (0.0000, 0.0000, 0.7500)
Li (0.3333, 0.6667, 0.7500)
Li (0.6667, 0.3333, 0.2500)



Entry 15:
Here is a relaxed MgNi2IrPb crystal from Alexandria via LeMat-Bulk. Energies are from PBE.

## Properties
energy of formation = 1.47 eV/atom

a = 4.1949 Å, b = 4.1949 Å, c = 4.9038 Å
α = 90.00°, β = 90.00°, γ = 90.00°
Sites, in units of the cell vectors:
Mg (0.0000, 0.0000, 0.0000)
Ni (0.0000, 0.5000, 0.0000)
Ni (0.5000, 0.0000, 0.0000)
Ir (0.5000, 0.5000, 0.5000)
Pb (0.0000, 0.0000, 0.5000)



Entry 16:
Here is a relaxed P2PdNO crystal from Alexandria via LeMat-Bulk. Energies are from PBE.

## Properties
total DFT energy (no corrections) = -4.24 eV per atom

a = 4.7317 Å, b = 4.7317 Å, c = 3.8020 Å
α = 90.00°, β = 90.00°, γ = 90.00°
Sites, in units of the cell vectors:
P (0.0000, 0.5000, 0.0000)
P (0.5000, 0.0000, 0.0000)
Pd (0.0000, 0.0000, 0.0000)
N (0.5000, 0.5000, 0.5000)
O (0.0000, 0.0000, 0.5000)



Entry 17:
Here is a relaxed Cr2RuCl crystal from Alexandria via LeMat-Bulk. Energies are from PBE.

## Properties
total DFT energy (no corrections) = -7.16 eV per atom

a = 5.1315 Å, b = 5.1315 Å, c = 4.1126 Å
α = 92.16°, β = 92.16°, γ = 32.63°
Sites, in units of the cell vectors:
Cr (0.0000, 0.0000, 0.0000)
Cr (0.6971, 0.6971, 0.2756)
Ru (0.4210, 0.4210, 0.4403)
Cl (0.2136, 0.2136, 0.7634)



Entry 18:
Here is a relaxed Pu4HgRuAu2 crystal from Alexandria via LeMat-Bulk. Energies are from PBE.

## Properties
energy of formation = -0.23 eV/atom

a = 8.6782 Å, b = 8.6782 Å, c = 8.6782 Å
α = 34.57°, β = 34.57°, γ = 34.57°
Sites, in units of the cell vectors:
Pu (0.1102, 0.1102, 0.1102)
Pu (0.3625, 0.3625, 0.3625)
Pu (0.6375, 0.6375, 0.6375)
Pu (0.8898, 0.8898, 0.8898)
Hg (0.5000, 0.5000, 0.5000)
Ru (0.0000, 0.0000, 0.0000)
Au (0.2377, 0.2377, 0.2377)
Au (0.7623, 0.7623, 0.7623)



Entry 19:
Here is a relaxed Te2IrAuI crystal from Alexandria via LeMat-Bulk. Energies are from PBE.

## Properties
total DFT energy (no corrections) = -3.31 eV per atom

a = 5.1997 Å, b = 5.1997 Å, c = 5.5694 Å
α = 90.00°, β = 90.00°, γ = 90.00°
Sites, in units of the cell vectors:
Te (0.0000, 0.5000, 0.0000)
Te (0.5000, 0.0000, 0.0000)
Ir (0.0000, 0.0000, 0.0000)
Au (0.5000, 0.5000, 0.5000)
I (0.0000, 0.0000, 0.5000)



Entry 20:
Here is a relaxed TiCl3 crystal from Alexandria via LeMat-Bulk. Energies are from PBE.

## Properties
total DFT energy (no corrections) = -4.89 eV per atom

a = 3.1081 Å, b = 7.8463 Å, c = 9.9791 Å
α = 90.00°, β = 90.00°, γ = 90.00°
Sites, in units of the cell vectors:
Ti (0.2500, 0.2500, 0.2129)
Ti (0.7500, 0.7500, 0.7871)
Cl (0.2500, 0.5469, 0.6926)
Cl (0.2500, 0.7500, 0.9741)
Cl (0.2500, 0.9531, 0.6926)
Cl (0.7500, 0.0469, 0.3074)
Cl (0.7500, 0.2500, 0.0259)
Cl (0.7500, 0.4531, 0.3074)